First-principles (PBE) data for a relaxed MnTe2Pt crystal, as listed in Alexandria via LeMat-Bulk.

The structure in POSCAR format:
```
MnTe2Pt
1.0
-2.501 -3.706 -2.157
4.670 0.270 -1.668
2.575 -4.113 1.078
Mn Pt Te
1 1 2
Direct
0.000 0.500 0.500
0.500 0.500 0.000
0.000 0.000 0.000
0.500 0.000 0.500
```

Summary:
volume: 93.94 Å³ per cell
space group: I4/mmm (139)
E_form (uncorrected): 0.0740 eV per atom
VASP energy: -5.30 eV/atom